First-principles (GGA-PBE) data for an optimized crystal structure of RbLaCoS2, as listed in Alexandria via LeMat-Bulk.

Uncorrected formation energy in eV/atom: -0.58
VASP energy in eV/atom: -4.827

Geometry as POSCAR:
```
RbLaCoS2
1.0
5.086 0.000 0.000
0.000 4.551 0.000
0.000 0.000 5.086
Rb S La Co
1 2 1 1
Cartesian
2.543 2.275 2.543 Rb
0.000 0.000 2.543 S
2.543 0.000 0.000 S
0.000 2.275 0.000 La
0.000 0.000 0.000 Co
```

---

First-principles (GGA-PBE) data for an optimized crystal structure of InB2Sb, as listed in Alexandria via LeMat-Bulk.

Uncorrected formation energy in eV/atom: 0.81
VASP energy in eV/atom: -4.249

Geometry as POSCAR:
```
InB2Sb
1.0
-0.213 1.511 -5.211
-5.383 0.594 0.393
-2.155 5.955 -1.013
In Sb B
2 2 4
Cartesian
-2.798 1.053 -2.409 In
-5.168 3.801 -1.515 In
-2.583 4.260 -4.316 Sb
0.000 0.000 0.000 Sb
-3.639 5.248 -2.572 B
-6.588 6.317 -4.970 B
-3.926 2.028 -0.586 B
-1.348 2.529 -3.534 B
```

---

First-principles (GGA-PBE) data for an optimized crystal structure of Ba2Hg2Rh, as listed in Alexandria via LeMat-Bulk.

VASP energy in eV/atom: -2.759

Geometry as POSCAR:
```
Ba2Hg2Rh
1.0
-4.259 0.231 -1.068
-2.611 -6.195 0.023
-4.957 1.283 10.975
Ba Rh Hg
4 2 4
Cartesian
-5.407 -0.717 3.297 Ba
-6.419 -3.964 6.634 Ba
-9.018 -0.434 8.697 Ba
-2.809 -4.247 1.233 Ba
-5.519 -4.846 2.854 Rh
-6.308 0.165 7.076 Rh
-2.563 -0.685 1.018 Hg
-9.263 -3.995 8.912 Hg
-7.855 -3.397 3.431 Hg
-3.971 -1.283 6.500 Hg
```

---

First-principles (GGA-PBE) data for an optimized crystal structure of LaPbAu3, as listed in Alexandria via LeMat-Bulk.

VASP energy in eV/atom: -4.225

Geometry as POSCAR:
```
LaPbAu3
1.0
4.714 0.000 0.000
0.000 3.626 -0.693
0.000 0.835 14.198
La Au Pb
2 6 2
Cartesian
1.179 0.398 2.083 La
3.536 4.063 11.421 La
1.179 2.760 4.605 Au
1.179 2.514 13.149 Au
1.179 1.997 10.445 Au
3.536 2.464 3.059 Au
3.536 1.702 8.899 Au
3.536 1.947 0.355 Au
3.536 1.121 5.862 Pb
1.179 3.341 7.642 Pb
```

---

First-principles (GGA-PBE) data for an optimized crystal structure of Hf3InGa2, as listed in Alexandria via LeMat-Bulk.

VASP energy in eV/atom: -6.732

Geometry as POSCAR:
```
Hf3InGa2
1.0
-3.797 0.164 2.120
3.320 -4.426 6.291
2.078 7.590 -1.335
Hf In Ga
6 2 4
Cartesian
0.591 -3.237 5.778 Hf
-1.516 4.788 1.380 Hf
0.144 2.575 4.525 Hf
1.456 0.753 2.551 Hf
3.116 -1.460 5.696 Hf
-1.069 -1.024 2.633 Hf
1.660 -2.213 3.145 In
0.000 0.000 0.000 In
-1.279 1.923 2.028 Ga
0.382 -0.290 5.173 Ga
1.218 3.619 1.903 Ga
2.879 1.406 5.048 Ga
```

---

First-principles (GGA-PBE) data for an optimized crystal structure of NdPt2Au, as listed in Alexandria via LeMat-Bulk.

VASP energy in eV/atom: -5.727

Geometry as POSCAR:
```
NdPt2Au
1.0
4.634 0.000 0.000
2.317 4.013 0.000
2.317 1.338 4.623
Nd Au Pt
1 1 2
Cartesian
0.000 0.000 0.000 Nd
4.634 2.675 2.311 Au
6.951 4.013 2.896 Pt
2.317 1.338 1.727 Pt
```

---

First-principles (GGA-PBE) data for an optimized crystal structure of RePb3Br, as listed in Alexandria via LeMat-Bulk.

Uncorrected formation energy in eV/atom: 0.10
VASP energy in eV/atom: -4.954

Geometry as POSCAR:
```
RePb3Br
1.0
-4.161 2.857 -1.765
-2.390 -4.494 -1.639
-2.359 -0.487 4.774
Pb Re Br
3 1 1
Cartesian
-1.179 -0.243 2.387 Pb
-2.081 1.428 -0.882 Pb
-1.195 -2.247 -0.819 Pb
0.000 0.000 0.000 Re
-4.455 -1.062 0.685 Br
```

---

First-principles (GGA-PBE) data for an optimized crystal structure of Sc2AlNCl, as listed in Alexandria via LeMat-Bulk.

Uncorrected formation energy in eV/atom: -0.47
VASP energy in eV/atom: -5.783

Geometry as POSCAR:
```
Sc2AlNCl
1.0
-0.087 1.988 3.688
5.083 -2.790 1.624
2.245 3.136 -1.638
Cl N Al Sc
1 1 1 2
Cartesian
2.542 -1.395 0.812 Cl
0.000 0.000 0.000 N
3.621 1.167 1.837 Al
-0.043 0.994 1.844 Sc
1.122 1.568 -0.819 Sc
```